[1]
! InCu2Ag | Alexandria | GGA-PBEsol | optimized geometry; values from VASP
! Formation energy (eV/atom): 0.025
! SG: I4/mmm
! Density of states at the Fermi level (states/eV/f.u.): 1.1
! Crystal system: tetragonal
&SYSTEM
  ibrav = 0, nat = 4, ntyp = 3
/
ATOMIC_SPECIES
Ag 107.87 Ag.upf
Cu 63.55 Cu.upf
In 114.82 In.upf
ATOMIC_POSITIONS angstrom
Ag 2.074 1.007 1.813
Cu 0.000 2.526 0.970
Cu 2.074 3.532 2.784
In 0.000 0.000 0.000
CELL_PARAMETERS angstrom
4.149 0.000 0.000
-2.074 4.044 0.127
0.000 2.014 3.627

---

[2]
! NaCaNb2Ir | Alexandria | GGA-PBEsol | optimized geometry; values from VASP
! Formation energy (eV/atom): 2.171
! SG: P4/mmm
! Density of states at the Fermi level (states/eV/f.u.): 4.7
! Crystal system: tetragonal
&SYSTEM
  ibrav = 0, nat = 5, ntyp = 4
/
ATOMIC_SPECIES
Ir 192.22 Ir.upf
Na 22.99 Na.upf
Nb 92.91 Nb.upf
Ca 40.08 Ca.upf
ATOMIC_POSITIONS angstrom
Ir 1.703 -3.132 1.701
Na -0.611 -0.811 1.942
Nb 2.230 -0.168 0.631
Nb 0.085 -2.152 -0.872
Ca 0.000 0.000 0.000
CELL_PARAMETERS angstrom
-1.223 -1.623 3.885
0.169 -4.304 -1.745
4.460 -0.337 1.263

---

[3]
! La9In5Se21 | Alexandria | GGA-PBEsol | optimized geometry; values from VASP
! SG: R3
! Formation energy from raw total energies (eV per formula unit): -52.14
! Crystal system: trigonal
&SYSTEM
  ibrav = 0, nat = 70, ntyp = 3
/
ATOMIC_SPECIES
Se 78.96 Se.upf
In 114.82 In.upf
La 138.91 La.upf
ATOMIC_POSITIONS angstrom
Se 11.444 0.492 2.720
Se 10.329 9.417 0.410
Se 8.284 -0.910 11.229
Se 6.417 11.669 3.976
Se 0.250 9.391 5.922
Se 8.457 2.687 10.891
Se 5.753 7.746 10.661
Se 5.944 4.504 8.637
Se 7.590 1.521 7.695
Se -0.709 1.363 11.672
Se 2.487 0.845 4.269
Se 10.996 6.124 5.872
Se 10.933 3.059 8.017
Se 3.936 11.471 6.769
Se 9.558 9.511 3.943
Se 9.597 3.137 4.514
Se 2.268 4.056 6.547
Se 1.787 9.799 9.907
Se 4.730 0.750 10.019
Se -1.425 5.120 11.582
Se 0.580 3.940 3.044
Se 6.628 8.330 2.410
Se 1.633 0.828 7.904
Se 0.717 6.740 8.555
Se 0.652 7.649 2.624
Se 5.241 11.605 0.480
Se 9.026 6.735 8.940
Se 7.101 9.823 7.735
Se 3.857 2.907 1.338
Se -1.773 10.199 9.401
Se 7.384 6.755 5.484
Se 4.938 4.478 12.185
Se 3.857 7.831 7.350
Se 10.992 -0.276 6.440
Se 2.114 3.328 10.333
Se 9.313 5.737 1.917
Se 3.796 6.189 3.428
Se 3.088 9.975 3.643
Se 1.430 11.658 0.807
Se 1.897 6.652 12.054
Se 7.539 2.436 1.747
Se 5.757 2.887 4.794
In 10.613 7.170 3.543
In 8.854 0.868 5.546
In 8.299 9.219 10.369
In 6.019 2.196 11.643
In 4.449 9.371 1.511
In 1.554 10.836 7.536
In 1.409 1.565 1.760
In -0.064 4.467 9.484
In 6.387 7.095 7.980
In 3.315 3.682 4.142
La 1.551 6.771 5.455
La 7.989 10.890 1.584
La 9.994 0.510 9.208
La 10.441 3.028 1.444
La 5.478 9.125 5.148
La 4.673 10.345 9.536
La 7.726 5.512 11.390
La 8.501 4.363 6.962
La 5.140 0.564 2.755
La 2.117 5.391 0.882
La -0.540 7.976 11.001
La 3.449 5.872 9.665
La 1.918 0.182 10.796
La 4.437 2.027 7.363
La 6.571 5.154 2.874
La 0.023 2.131 5.458
La 9.799 8.800 6.807
La -0.020 10.497 3.176
CELL_PARAMETERS angstrom
12.338 0.073 0.082
-1.220 12.277 0.082
-1.220 -1.355 12.203

---

[4]
! Cr2Pt | Alexandria | GGA-PBEsol | optimized geometry; values from VASP
! Formation energy (eV/atom): 0.072
! SG: I4/mmm
! Density of states at the Fermi level (states/eV/f.u.): 3.8
! Crystal system: tetragonal
&SYSTEM
  ibrav = 0, nat = 3, ntyp = 2
/
ATOMIC_SPECIES
Cr 52.00 Cr.upf
Pt 195.08 Pt.upf
ATOMIC_POSITIONS angstrom
Cr -0.198 -1.295 2.338
Cr 1.404 0.362 2.389
Pt 0.000 0.000 0.000
CELL_PARAMETERS angstrom
-2.478 -0.175 1.482
0.342 -2.863 0.233
3.342 2.105 3.012